First-principles (SCAN) data for Te3Pb at its PBEsol-relaxed geometry, as listed in Alexandria via LeMat-Bulk.

Values from the calculation:
ΔE_f (raw) in eV/atom: -0.033
E in eV per atom: -46.917

Cell lengths 7.0528, 7.0528, 7.0528 Å; angles 39.05, 39.05, 39.05 degrees
Element x y z (fractional)
Te (0.0000, 0.0000, 0.0000)
Te (0.2513, 0.2513, 0.2513)
Te (0.7487, 0.7487, 0.7487)
Pb (0.5000, 0.5000, 0.5000)

***

First-principles (SCAN) data for Ca2TaNbTe at its PBEsol-relaxed geometry, as listed in Alexandria via LeMat-Bulk.

Values from the calculation:
ΔE_f (raw) in eV/atom: 1.404
E in eV per atom: -29.855

Cell lengths 5.4539, 5.4539, 5.1362 Å; angles 90.00, 90.00, 90.00 degrees
Element x y z (fractional)
Ca (0.0000, 0.5000, 0.0000)
Ca (0.5000, 0.0000, 0.0000)
Ta (0.0000, 0.0000, 0.5000)
Nb (0.5000, 0.5000, 0.0000)
Te (0.5000, 0.5000, 0.5000)

***

First-principles (SCAN) data for NbTcPdN2 at its PBEsol-relaxed geometry, as listed in Alexandria via LeMat-Bulk.

Values from the calculation:
ΔE_f (raw) in eV/atom: 0.901
E in eV per atom: -23.009

Cell lengths 3.7653, 3.7653, 5.3152 Å; angles 90.00, 90.00, 90.00 degrees
Element x y z (fractional)
Nb (0.0000, 0.0000, 0.0000)
Tc (0.0000, 0.0000, 0.5000)
Pd (0.5000, 0.5000, 0.0000)
N (0.0000, 0.5000, 0.5000)
N (0.5000, 0.0000, 0.5000)

***

First-principles (SCAN) data for Na2W2O7 at its PBEsol-relaxed geometry, as listed in Alexandria via LeMat-Bulk.

Values from the calculation:
ΔE_f (raw) in eV/atom: -2.278
E in eV per atom: -19.680

Cell lengths 13.5334, 13.5334, 5.4480 Å; angles 90.00, 90.00, 163.79 degrees
Element x y z (fractional)
Na (0.0522, 0.9478, 0.5000)
Na (0.2157, 0.7843, 0.9628)
Na (0.7843, 0.2157, 0.4628)
Na (0.9478, 0.0522, 0.0000)
W (0.3412, 0.6588, 0.9847)
W (0.4464, 0.5536, 0.4976)
W (0.5536, 0.4464, 0.9976)
W (0.6588, 0.3412, 0.4847)
O (0.0472, 0.9528, 0.0052)
O (0.1466, 0.8534, 0.5002)
O (0.2908, 0.7092, 0.1979)
O (0.3063, 0.6937, 0.7105)
O (0.3937, 0.6063, 0.2897)
O (0.4095, 0.5905, 0.7887)
O (0.4923, 0.5077, 0.2212)
O (0.5077, 0.4923, 0.7212)
O (0.5905, 0.4095, 0.2887)
O (0.6063, 0.3937, 0.7897)
O (0.6937, 0.3063, 0.2105)
O (0.7092, 0.2908, 0.6979)
O (0.8534, 0.1466, 0.0002)
O (0.9528, 0.0472, 0.5052)

***

First-principles (SCAN) data for KDyH2C2SO9 at its PBEsol-relaxed geometry, as listed in Alexandria via LeMat-Bulk.

Values from the calculation:
E in eV per atom: -11.239

Cell lengths 6.5255, 8.4549, 14.4618 Å; angles 90.00, 113.13, 90.00 degrees
Element x y z (fractional)
K (0.0350, 0.1469, 0.3027)
K (0.0350, 0.3531, 0.8027)
K (0.9650, 0.6469, 0.1973)
K (0.9650, 0.8531, 0.6973)
Dy (0.3303, 0.2474, 0.5847)
Dy (0.3303, 0.2526, 0.0847)
Dy (0.6697, 0.7474, 0.9153)
Dy (0.6697, 0.7526, 0.4153)
H (0.0310, 0.0400, 0.9160)
H (0.0310, 0.4600, 0.4160)
H (0.2713, 0.0370, 0.9132)
H (0.2713, 0.4630, 0.4132)
H (0.7287, 0.5370, 0.5868)
H (0.7287, 0.9630, 0.0868)
H (0.9690, 0.5400, 0.5840)
H (0.9690, 0.9600, 0.0840)
C (0.3641, 0.5378, 0.7316)
C (0.3641, 0.9622, 0.2316)
C (0.4144, 0.0425, 0.7799)
C (0.4144, 0.4575, 0.2799)
C (0.5856, 0.5425, 0.7201)
C (0.5856, 0.9575, 0.2201)
C (0.6359, 0.0378, 0.7684)
C (0.6359, 0.4622, 0.2684)
S (0.2624, 0.6627, 0.0273)
S (0.2624, 0.8373, 0.5273)
S (0.7376, 0.1627, 0.4727)
S (0.7376, 0.3373, 0.9727)
O (0.0493, 0.7374, 0.9613)
O (0.0493, 0.7626, 0.4613)
O (0.1769, 0.0960, 0.9424)
O (0.1769, 0.4040, 0.4424)
O (0.2136, 0.0479, 0.1684)
O (0.2136, 0.4521, 0.6684)
O (0.2480, 0.0108, 0.5041)
O (0.2480, 0.4892, 0.0041)
O (0.2649, 0.1326, 0.7228)
O (0.2649, 0.3674, 0.2228)
O (0.3058, 0.6868, 0.1339)
O (0.3058, 0.8132, 0.6339)
O (0.3466, 0.6139, 0.8029)
O (0.3466, 0.8861, 0.3029)
O (0.3971, 0.5479, 0.3470)
O (0.3971, 0.9521, 0.8470)
O (0.4446, 0.7337, 0.0041)
O (0.4446, 0.7663, 0.5041)
O (0.5554, 0.2337, 0.4959)
O (0.5554, 0.2663, 0.9959)
O (0.6029, 0.0479, 0.1530)
O (0.6029, 0.4521, 0.6530)
O (0.6534, 0.1139, 0.6971)
O (0.6534, 0.3861, 0.1971)
O (0.6942, 0.1868, 0.3661)
O (0.6942, 0.3132, 0.8661)
O (0.7351, 0.6326, 0.7772)
O (0.7351, 0.8674, 0.2772)
O (0.7520, 0.5108, 0.9959)
O (0.7520, 0.9892, 0.4959)
O (0.7864, 0.5479, 0.3316)
O (0.7864, 0.9521, 0.8316)
O (0.8231, 0.5960, 0.5576)
O (0.8231, 0.9040, 0.0576)
O (0.9507, 0.2374, 0.5387)
O (0.9507, 0.2626, 0.0387)

***

First-principles (SCAN) data for AlFe2Si at its PBEsol-relaxed geometry, as listed in Alexandria via LeMat-Bulk.

Values from the calculation:
ΔE_f (raw) in eV/atom: -0.430
E in eV per atom: -13.937

Cell lengths 3.9200, 3.9200, 3.9200 Å; angles 60.00, 60.00, 60.00 degrees
Element x y z (fractional)
Al (0.0000, 0.0000, 0.0000)
Fe (0.2500, 0.2500, 0.2500)
Fe (0.7500, 0.7500, 0.7500)
Si (0.5000, 0.5000, 0.5000)